Record 1
Compound: SiTe2O
Source: the Alexandria database
Functional: GGA-PBE
Structure: relaxed

```
SiTe2O
1.0
1.577 0.911 9.187
-1.577 0.911 9.187
0.000 -1.821 9.187
Si Te O
1 2 1
Cartesian
0.000 0.000 0.000
0.000 0.000 2.765
0.000 0.000 24.797
0.000 0.000 13.781
```

uncorrected energy = -15.0 eV/cell
formation energy without anion corrections = 405 meV/atom
energy above the lowest structure with this stoichiometry = 34.9 kJ per mole of atoms
space group = R-3m, No. 166



Record 2
Compound: GaTe2C
Source: the Alexandria database
Functional: GGA-PBE
Structure: relaxed

```
GaTe2C
1.0
1.670 0.964 9.273
-1.670 0.964 9.273
0.000 -1.928 9.273
Ga Te C
1 2 1
Cartesian
0.000 0.000 0.000
0.000 0.000 3.078
0.000 0.000 24.741
0.000 0.000 13.910
```

uncorrected energy = -14.2 eV/cell
formation energy without anion corrections = 1093 meV/atom
energy above the lowest structure with this stoichiometry = 14.8 kJ per mole of atoms
space group = R-3m, No. 166



Record 3
Compound: ScC2
Source: the Alexandria database
Functional: GGA-PBE
Structure: relaxed

```
ScC2
1.0
2.752 0.000 0.000
-1.376 2.384 0.000
0.000 0.000 3.942
Sc C
1 2
Cartesian
0.000 0.000 0.000
0.000 1.589 2.114
1.376 0.795 1.828
```

uncorrected energy = -23.5 eV/cell
energy relative to the elements = 0.44 eV per atom
space group = P-3m1, No. 164



Record 4
Compound: Li2HfPb2
Source: the Alexandria database
Functional: GGA-PBE
Structure: relaxed

```
Li2HfPb2
1.0
8.062 0.000 0.000
0.000 8.062 0.000
0.000 0.000 3.176
Li Hf Pb
4 2 4
Cartesian
0.919 3.113 0.000
3.113 7.144 0.000
4.950 0.919 0.000
7.144 4.950 0.000
0.000 0.000 0.000
4.031 4.031 0.000
1.473 5.504 1.588
2.558 1.473 1.588
5.504 6.590 1.588
6.590 2.558 1.588
```

uncorrected energy = -43.0 eV/cell
energy relative to the elements = -0.06 eV per atom
energy above the lowest structure with this stoichiometry = 0.0 kJ per mole of atoms
space group = P4/mbm, No. 127



Record 5
Compound: Sm8Al2In
Source: the Alexandria database
Functional: GGA-PBE
Structure: relaxed

```
Sm8Al2In
1.0
-2.545 4.273 7.492
2.545 -4.273 7.492
2.545 4.273 -7.492
Sm Al In
8 2 1
Cartesian
2.545 2.405 -2.413
0.000 0.000 2.165
0.000 2.679 0.000
2.545 2.405 2.413
0.000 1.867 5.079
0.000 5.867 0.000
0.000 0.000 12.819
0.000 1.867 9.905
2.545 0.000 4.605
0.000 4.273 2.887
2.545 0.000 0.000
```

uncorrected energy = -49.9 eV/cell
energy relative to the elements = -0.18 eV per atom
energy above the lowest structure with this stoichiometry = 2.7 kJ per mole of atoms
space group = Immm, No. 71



Record 6
Compound: LiTcIr2
Source: the Alexandria database
Functional: GGA-PBE
Structure: relaxed

```
LiTcIr2
1.0
2.818 0.000 0.000
0.000 2.818 0.000
0.000 0.000 6.789
Li Tc Ir
1 1 2
Cartesian
0.000 0.000 0.000
0.000 0.000 3.395
1.409 1.409 1.617
1.409 1.409 5.172
```

uncorrected energy = -30.5 eV/cell
energy relative to the elements = -0.11 eV per atom
energy above the lowest structure with this stoichiometry = 0.0 kJ per mole of atoms
space group = P4/mmm, No. 123



Record 7
Compound: Hf2BeCoHg
Source: the Alexandria database
Functional: GGA-PBE
Structure: relaxed

```
Hf2BeCoHg
1.0
4.640 0.000 0.000
0.000 4.640 0.000
0.000 0.000 4.856
Hf Be Co Hg
2 1 1 1
Cartesian
0.000 2.320 0.000
2.320 0.000 0.000
0.000 0.000 2.428
2.320 2.320 0.000
2.320 2.320 2.428
```

uncorrected energy = -28.0 eV/cell
energy relative to the elements = 0.61 eV per atom
space group = P4/mmm, No. 123



Record 8
Compound: In2GeOs
Source: the Alexandria database
Functional: GGA-PBE
Structure: relaxed

```
In2GeOs
1.0
4.859 -1.940 0.000
4.859 1.940 0.000
-0.263 0.000 8.374
In Ge Os
4 2 2
Cartesian
0.544 0.000 2.159
3.460 0.000 0.441
5.995 0.000 7.934
8.911 0.000 6.216
3.354 0.000 3.850
6.100 0.000 4.524
1.953 0.000 6.013
7.501 0.000 2.362
```

uncorrected energy = -41.9 eV/cell
energy relative to the elements = 0.09 eV per atom
space group = C2/m, No. 12